Density functional theory data (PBE with a Hubbard U) for a geometry-optimized CdCoTe2O6 structure.

**VASP energy**: -50.40 eV per formula unit

The structure in POSCAR format:
```
CdCoTe2O6
1.0
5.3358 -5.2050 0.0000
5.3358 5.2050 0.0000
-2.3563 0.0000 5.7918
Cd Co Te O
2 2 4 12
Cartesian
3.5686 4.3276 4.3438
4.7467 -4.3276 1.4479
4.7467 3.3392 1.4479
3.5686 -3.3392 4.3438
1.7238 1.4142 4.5438
2.9019 -1.4142 1.6479
5.4133 1.4142 4.1439
6.5915 -1.4142 1.2480
3.0108 3.6189 2.1261
1.8732 3.2238 5.3957
6.4826 3.6189 0.7698
5.2639 3.2238 3.2919
3.6326 0.4005 0.2195
2.4544 -0.4005 3.1154
5.8608 0.4005 2.6764
4.6827 -0.4005 5.5723
3.0513 -3.2238 2.4998
1.8327 -3.6189 5.0219
6.4421 -3.2238 0.3961
5.3045 -3.6189 3.6657
```